w.
The following is a meta-GGA SCAN calculation of a PBEsol-optimized structure of NaV5O8, from Alexandria. Values from VASP.

```
&SYSTEM
  ibrav = 0, nat = 14, ntyp = 3
/
ATOMIC_SPECIES
Na 22.99 Na.upf
V 50.94 V.upf
O 16.00 O.upf
CELL_PARAMETERS angstrom
2.8255 -0.0131 0.0235
-1.3886 5.3514 0.0645
-0.0923 -2.2802 9.4499
ATOMIC_POSITIONS crystal
Na 0.5036 0.9973 0.2503
V 0.7443 0.4767 0.1197
V 0.7452 0.4811 0.6464
V 0.5038 0.9974 0.7503
V 0.2630 0.5180 0.3810
V 0.2621 0.5138 0.8543
O 0.8590 0.7090 0.3115
O 0.6653 0.3225 0.4429
O 0.8911 0.7720 0.8199
O 0.6508 0.2911 0.9191
O 0.3419 0.6722 0.0578
O 0.3564 0.7037 0.5815
O 0.1483 0.2857 0.1891
O 0.1162 0.2229 0.6808
```

x.
The following is a meta-GGA SCAN calculation of a PBEsol-optimized structure of NaV5O8, from Alexandria. Values from VASP.

```
&SYSTEM
  ibrav = 0, nat = 14, ntyp = 3
/
ATOMIC_SPECIES
Na 22.99 Na.upf
V 50.94 V.upf
O 16.00 O.upf
CELL_PARAMETERS angstrom
2.7898 0.0000 0.0000
0.0000 7.0800 0.1705
-1.3949 -1.9309 6.8152
ATOMIC_POSITIONS crystal
Na 0.0000 0.5000 0.0000
V 0.5000 0.0000 0.0000
V 0.8516 0.0357 0.7033
V 0.1484 0.9643 0.2967
V 0.7915 0.6413 0.5830
V 0.2085 0.3587 0.4170
O 0.9212 0.8366 0.8424
O 0.0788 0.1634 0.1576
O 0.4191 0.1996 0.8381
O 0.5809 0.8004 0.1619
O 0.3424 0.5106 0.6847
O 0.6576 0.4894 0.3153
O 0.2651 0.8460 0.5301
O 0.7349 0.1540 0.4699
```

y.
The following is a meta-GGA SCAN calculation of a PBEsol-optimized structure of NaV5O8, from Alexandria. Values from VASP.

```
&SYSTEM
  ibrav = 0, nat = 56, ntyp = 3
/
ATOMIC_SPECIES
Na 22.99 Na.upf
V 50.94 V.upf
O 16.00 O.upf
CELL_PARAMETERS angstrom
-7.3364 -3.8485 -1.3450
3.7624 -7.4578 0.8169
-1.5697 0.1111 8.2441
ATOMIC_POSITIONS crystal
Na 0.1250 0.8750 0.3750
Na 0.3750 0.1250 0.8750
Na 0.6250 0.6250 0.6250
Na 0.8750 0.3750 0.1250
V 0.0049 0.0049 0.0049
V 0.9951 0.5049 0.4951
V 0.1189 0.1311 0.6250
V 0.1311 0.6250 0.1189
V 0.1250 0.3811 0.8689
V 0.2451 0.2451 0.2451
V 0.2549 0.7549 0.7451
V 0.3689 0.3750 0.6189
V 0.3750 0.6189 0.3689
V 0.3811 0.8689 0.1250
V 0.4951 0.9951 0.5049
V 0.5049 0.4951 0.9951
V 0.6250 0.1189 0.1311
V 0.6189 0.3689 0.3750
V 0.6311 0.8750 0.8811
V 0.7451 0.2549 0.7549
V 0.7549 0.7451 0.2549
V 0.8689 0.1250 0.3811
V 0.8811 0.6311 0.8750
V 0.8750 0.8811 0.6311
O 0.1449 0.3843 0.1039
O 0.1461 0.8657 0.1051
O 0.1270 0.3730 0.6270
O 0.1039 0.1449 0.3843
O 0.1157 0.8961 0.6449
O 0.1051 0.1461 0.8657
O 0.1343 0.6051 0.3539
O 0.1230 0.6230 0.8770
O 0.3843 0.1039 0.1449
O 0.3770 0.3770 0.3770
O 0.3539 0.1343 0.6051
O 0.3657 0.3949 0.8539
O 0.3730 0.6270 0.1270
O 0.3949 0.8539 0.3657
O 0.3551 0.6157 0.6039
O 0.3961 0.8551 0.8843
O 0.6270 0.1270 0.3730
O 0.6051 0.3539 0.1343
O 0.6039 0.3551 0.6157
O 0.6157 0.6039 0.3551
O 0.6449 0.1157 0.8961
O 0.6461 0.6343 0.8949
O 0.6230 0.8770 0.1230
O 0.6343 0.8949 0.6461
O 0.8657 0.1051 0.1461
O 0.8770 0.1230 0.6230
O 0.8539 0.3657 0.3949
O 0.8961 0.6449 0.1157
O 0.8949 0.6461 0.6343
O 0.8843 0.3961 0.8551
O 0.8551 0.8843 0.3961
O 0.8730 0.8730 0.8730
```

In meV/atom, relative to the most stable structure: w 68; x 104; y 0.

w.
The following is a meta-GGA SCAN calculation of a PBEsol-optimized structure of Na5VO5, from Alexandria. Values from VASP.

```
&SYSTEM
  ibrav = 0, nat = 44, ntyp = 3
/
ATOMIC_SPECIES
Na 22.99 Na.upf
V 50.94 V.upf
O 16.00 O.upf
CELL_PARAMETERS angstrom
5.7624 0.0000 0.0000
0.0000 6.5753 0.0000
0.0000 0.0000 16.0083
ATOMIC_POSITIONS crystal
Na 0.4818 0.0000 0.2500
Na 0.5182 0.5000 0.7500
Na 0.4818 0.5000 0.2500
Na 0.5182 0.0000 0.7500
Na 0.7825 0.0142 0.0815
Na 0.7825 0.9858 0.4185
Na 0.2175 0.5142 0.9185
Na 0.2175 0.4858 0.5815
Na 0.2175 0.9858 0.9185
Na 0.2175 0.0142 0.5815
Na 0.7825 0.4858 0.0815
Na 0.7825 0.5142 0.4185
Na 0.9956 0.2500 0.2311
Na 0.9956 0.7500 0.2689
Na 0.0044 0.7500 0.7689
Na 0.0044 0.2500 0.7311
Na 0.3266 0.2500 0.0839
Na 0.3266 0.7500 0.4161
Na 0.6734 0.7500 0.9161
Na 0.6734 0.2500 0.5839
V 0.7857 0.7500 0.5931
V 0.7857 0.2500 0.9069
V 0.2143 0.2500 0.4069
V 0.2143 0.7500 0.0931
O 0.3573 0.7500 0.8273
O 0.3573 0.2500 0.6727
O 0.6427 0.7500 0.3273
O 0.6427 0.2500 0.1727
O 0.1575 0.5388 0.1533
O 0.1575 0.4612 0.3467
O 0.8425 0.0388 0.8467
O 0.8425 0.9612 0.6533
O 0.8425 0.4612 0.8467
O 0.8425 0.5388 0.6533
O 0.1575 0.9612 0.1533
O 0.1575 0.0388 0.3467
O 0.0204 0.7500 0.0116
O 0.0204 0.2500 0.4884
O 0.9796 0.2500 0.9884
O 0.9796 0.7500 0.5116
O 0.4927 0.7500 0.0542
O 0.4927 0.2500 0.4458
O 0.5073 0.2500 0.9458
O 0.5073 0.7500 0.5542
```

x.
The following is a meta-GGA SCAN calculation of a PBEsol-optimized structure of Na5VO5, from Alexandria. Values from VASP.

```
&SYSTEM
  ibrav = 0, nat = 22, ntyp = 3
/
ATOMIC_SPECIES
Na 22.99 Na.upf
V 50.94 V.upf
O 16.00 O.upf
CELL_PARAMETERS angstrom
5.8210 0.0189 -0.0145
-2.5851 5.2156 -0.0145
-1.5491 -2.5059 9.4133
ATOMIC_POSITIONS crystal
Na 0.9728 0.6699 0.4176
Na 0.7875 0.5581 0.0520
Na 0.3341 0.6659 0.2500
Na 0.6699 0.9728 0.9176
Na 0.5581 0.7875 0.5520
Na 0.4419 0.2125 0.4480
Na 0.3301 0.0272 0.0824
Na 0.6659 0.3341 0.7500
Na 0.2125 0.4419 0.9480
Na 0.0272 0.3301 0.5824
V 0.9076 0.0924 0.2500
V 0.0924 0.9076 0.7500
O 0.9540 0.2897 0.1238
O 0.1857 0.3993 0.3906
O 0.2897 0.9540 0.6238
O 0.3993 0.1857 0.8906
O 0.0859 0.9141 0.2500
O 0.9141 0.0859 0.7500
O 0.6007 0.8143 0.1094
O 0.7103 0.0460 0.3762
O 0.8143 0.6007 0.6094
O 0.0460 0.7103 0.8762
```

In meV/atom, relative to the most stable structure: w 0; x 61.

w.
The following is a meta-GGA SCAN calculation of a PBEsol-optimized structure of Na3VO3, from Alexandria. Values from VASP.

```
&SYSTEM
  ibrav = 0, nat = 28, ntyp = 3
/
ATOMIC_SPECIES
Na 22.99 Na.upf
O 16.00 O.upf
V 50.94 V.upf
CELL_PARAMETERS angstrom
-5.1286 1.8700 -3.5105
6.3031 -1.7619 -6.3751
0.9564 -8.7886 -2.3069
ATOMIC_POSITIONS crystal
Na 0.2500 0.3400 0.6600
Na 0.7500 0.6600 0.3400
Na 0.2500 0.7147 0.2853
Na 0.7500 0.2853 0.7147
Na 0.0843 0.2325 0.0527
Na 0.5843 0.0527 0.2325
Na 0.4157 0.9473 0.7675
Na 0.9157 0.7675 0.9473
Na 0.6817 0.3442 0.3621
Na 0.1817 0.3621 0.3442
Na 0.8183 0.6379 0.6558
Na 0.3183 0.6558 0.6379
O 0.7790 0.0184 0.7486
O 0.2210 0.9816 0.2514
O 0.2790 0.7486 0.0184
O 0.7210 0.2514 0.9816
O 0.1523 0.0913 0.5574
O 0.6523 0.5574 0.0913
O 0.3477 0.4426 0.9087
O 0.8477 0.9087 0.4426
O 0.9989 0.4994 0.4171
O 0.4989 0.4171 0.4994
O 0.5011 0.5829 0.5006
O 0.0011 0.5006 0.5829
V 0.3735 0.5881 0.0143
V 0.8735 0.0143 0.5881
V 0.1265 0.9857 0.4119
V 0.6265 0.4119 0.9857
```

x.
The following is a meta-GGA SCAN calculation of a PBEsol-optimized structure of Na3VO3, from Alexandria. Values from VASP.

```
&SYSTEM
  ibrav = 0, nat = 28, ntyp = 3
/
ATOMIC_SPECIES
Na 22.99 Na.upf
V 50.94 V.upf
O 16.00 O.upf
CELL_PARAMETERS angstrom
6.0295 -0.0112 0.0000
-0.2821 6.0299 0.0000
0.0000 0.0000 10.5641
ATOMIC_POSITIONS crystal
Na 0.4738 0.9167 0.2205
Na 0.1553 0.8503 0.9946
Na 0.9806 0.9857 0.7113
Na 0.4738 0.4167 0.2795
Na 0.0194 0.5143 0.2113
Na 0.1553 0.3503 0.5054
Na 0.8447 0.6497 0.4946
Na 0.9806 0.4857 0.7887
Na 0.5262 0.5833 0.7205
Na 0.0194 0.0143 0.2887
Na 0.8447 0.1497 0.0054
Na 0.5262 0.0833 0.7795
V 0.3290 0.8350 0.5030
V 0.3290 0.3350 0.9970
V 0.6710 0.6650 0.0030
V 0.6710 0.1650 0.4970
O 0.3939 0.6125 0.0836
O 0.1833 0.6926 0.6297
O 0.2297 0.6823 0.3688
O 0.7703 0.8177 0.8688
O 0.8167 0.8074 0.1297
O 0.6061 0.8875 0.5836
O 0.3939 0.1125 0.4164
O 0.1833 0.1926 0.8703
O 0.2297 0.1823 0.1312
O 0.7703 0.3177 0.6312
O 0.8167 0.3074 0.3703
O 0.6061 0.3875 0.9164
```

In meV/atom, relative to the most stable structure: w 503; x 0.

w.
The following is a meta-GGA SCAN calculation of a PBEsol-optimized structure of NaV2O5, from Alexandria. Values from VASP.

```
&SYSTEM
  ibrav = 0, nat = 16, ntyp = 3
/
ATOMIC_SPECIES
Na 22.99 Na.upf
V 50.94 V.upf
O 16.00 O.upf
CELL_PARAMETERS angstrom
3.6060 0.0000 0.0000
-1.8030 5.5426 0.0000
0.0000 0.0000 11.2432
ATOMIC_POSITIONS crystal
Na 0.0938 0.1876 0.7500
Na 0.9062 0.8124 0.2500
V 0.2060 0.4120 0.0999
V 0.2060 0.4120 0.4001
V 0.7940 0.5880 0.9001
V 0.7940 0.5880 0.5999
O 0.0622 0.1245 0.3834
O 0.0622 0.1245 0.1166
O 0.2691 0.5381 0.2500
O 0.2417 0.4834 0.9286
O 0.2417 0.4834 0.5714
O 0.7309 0.4619 0.7500
O 0.7583 0.5166 0.4286
O 0.7583 0.5166 0.0714
O 0.9378 0.8755 0.8834
O 0.9378 0.8755 0.6166
```

x.
The following is a meta-GGA SCAN calculation of a PBEsol-optimized structure of NaV2O5, from Alexandria. Values from VASP.

```
&SYSTEM
  ibrav = 0, nat = 32, ntyp = 3
/
ATOMIC_SPECIES
Na 22.99 Na.upf
V 50.94 V.upf
O 16.00 O.upf
CELL_PARAMETERS angstrom
3.6089 0.0000 0.0000
0.0000 9.7234 0.0000
0.0000 0.0000 11.9740
ATOMIC_POSITIONS crystal
Na 0.7500 0.3445 0.7695
Na 0.2500 0.1555 0.2695
Na 0.7500 0.8445 0.7305
Na 0.2500 0.6555 0.2305
V 0.7500 0.4343 0.4130
V 0.2500 0.3745 0.9987
V 0.7500 0.1255 0.4987
V 0.2500 0.0657 0.9130
V 0.7500 0.9343 0.0870
V 0.2500 0.8745 0.5013
V 0.7500 0.6255 0.0013
V 0.2500 0.5657 0.5870
O 0.2500 0.4851 0.7062
O 0.2500 0.4365 0.4622
O 0.7500 0.4292 0.9650
O 0.2500 0.2867 0.1125
O 0.7500 0.2518 0.3857
O 0.2500 0.2482 0.8857
O 0.7500 0.2133 0.6125
O 0.2500 0.0708 0.4650
O 0.7500 0.0635 0.9622
O 0.7500 0.0149 0.2062
O 0.2500 0.9851 0.7938
O 0.2500 0.9365 0.0378
O 0.7500 0.9292 0.5350
O 0.2500 0.7867 0.3875
O 0.7500 0.7518 0.1143
O 0.2500 0.7482 0.6143
O 0.7500 0.7133 0.8875
O 0.2500 0.5708 0.0350
O 0.7500 0.5635 0.5378
O 0.7500 0.5149 0.2938
```

In meV/atom, relative to the most stable structure: w 41; x 0.

w.
The following is a meta-GGA SCAN calculation of a PBEsol-optimized structure of NaSbPS2, from Alexandria. Values from VASP.

```
&SYSTEM
  ibrav = 0, nat = 5, ntyp = 4
/
ATOMIC_SPECIES
Sb 121.76 Sb.upf
S 32.06 S.upf
Na 22.99 Na.upf
P 30.97 P.upf
CELL_PARAMETERS angstrom
5.0854 0.0000 0.0000
0.0000 5.0854 0.0000
0.0000 0.0000 5.0244
ATOMIC_POSITIONS crystal
Sb 0.0000 0.0000 0.0000
S 0.0000 0.5000 0.0000
S 0.5000 0.0000 0.0000
Na 0.5000 0.5000 0.5000
P 0.0000 0.0000 0.5000
```

x.
The following is a meta-GGA SCAN calculation of a PBEsol-optimized structure of NaSbPS2, from Alexandria. Values from VASP.

```
&SYSTEM
  ibrav = 0, nat = 5, ntyp = 4
/
ATOMIC_SPECIES
Sb 121.76 Sb.upf
S 32.06 S.upf
Na 22.99 Na.upf
P 30.97 P.upf
CELL_PARAMETERS angstrom
-3.2427 -2.1725 2.3791
-1.7365 -1.6646 -3.8870
3.3432 -4.5104 0.4381
ATOMIC_POSITIONS crystal
Sb 0.0000 0.0000 0.5000
S 0.0000 0.5000 0.0000
S 0.5000 0.0000 0.0000
Na 0.0000 0.0000 0.0000
P 0.5000 0.5000 0.5000
```

In meV/atom, relative to the most stable structure: w 0; x 980.

w.
The following is a meta-GGA SCAN calculation of a PBEsol-optimized structure of NaSbP2S6, from Alexandria. Values from VASP.

```
&SYSTEM
  ibrav = 0, nat = 40, ntyp = 4
/
ATOMIC_SPECIES
Na 22.99 Na.upf
Sb 121.76 Sb.upf
P 30.97 P.upf
S 32.06 S.upf
CELL_PARAMETERS angstrom
-2.1289 -5.5613 -4.0178
2.0750 -6.9180 8.4763
-10.8969 3.6309 0.7482
ATOMIC_POSITIONS crystal
Na 0.8906 0.5935 0.3795
Na 0.1094 0.4065 0.6205
Na 0.3906 0.4065 0.1205
Na 0.6094 0.5935 0.8795
Sb 0.8530 0.1285 0.8251
Sb 0.1470 0.8715 0.1749
Sb 0.6470 0.1285 0.3251
Sb 0.3530 0.8715 0.6749
P 0.1015 0.7578 0.8355
P 0.8985 0.2422 0.1645
P 0.1239 0.2470 0.2993
P 0.6015 0.2422 0.6645
P 0.6239 0.7530 0.2007
P 0.3761 0.2470 0.7993
P 0.8761 0.7530 0.7007
P 0.3985 0.7578 0.3355
S 0.4924 0.8237 0.0779
S 0.1901 0.6573 0.2228
S 0.6901 0.3427 0.2772
S 0.6876 0.8770 0.8082
S 0.3099 0.6573 0.7228
S 0.7824 0.5753 0.6318
S 0.9924 0.1763 0.4221
S 0.5001 0.3145 0.5396
S 0.3124 0.1230 0.1918
S 0.4999 0.6855 0.4604
S 0.0001 0.6855 0.9604
S 0.1925 0.9416 0.8950
S 0.9999 0.3145 0.0396
S 0.2824 0.4247 0.8682
S 0.0076 0.8237 0.5779
S 0.5076 0.1763 0.9221
S 0.2176 0.4247 0.3682
S 0.3075 0.9416 0.3950
S 0.8124 0.8770 0.3082
S 0.1876 0.1230 0.6918
S 0.6925 0.0584 0.6050
S 0.8099 0.3427 0.7772
S 0.7176 0.5753 0.1318
S 0.8075 0.0584 0.1050
```

x.
The following is a meta-GGA SCAN calculation of a PBEsol-optimized structure of NaSbP2S6, from Alexandria. Values from VASP.

```
&SYSTEM
  ibrav = 0, nat = 20, ntyp = 4
/
ATOMIC_SPECIES
Sb 121.76 Sb.upf
S 32.06 S.upf
Na 22.99 Na.upf
P 30.97 P.upf
CELL_PARAMETERS angstrom
6.4338 0.0000 0.0747
0.0000 7.3447 0.0000
-0.4413 0.0000 9.2362
ATOMIC_POSITIONS crystal
Sb 0.8036 0.2715 0.9835
Sb 0.1964 0.7715 0.0165
S 0.6474 0.9472 0.0193
S 0.0677 0.1264 0.8106
S 0.8683 0.9429 0.4920
S 0.1317 0.4429 0.5080
S 0.5988 0.2466 0.7031
S 0.9323 0.6264 0.1894
S 0.9132 0.6311 0.8235
S 0.4184 0.7386 0.7261
S 0.0868 0.1311 0.1765
S 0.5816 0.2386 0.2739
S 0.3526 0.4472 0.9807
S 0.4012 0.7466 0.2969
Na 0.6940 0.5483 0.5016
Na 0.3060 0.0483 0.4984
P 0.6854 0.8270 0.8192
P 0.8140 0.0472 0.6829
P 0.1860 0.5472 0.3171
P 0.3146 0.3270 0.1808
```

In meV/atom, relative to the most stable structure: w 0; x 9.